[1]
K12Rb3Hg5 after structural relaxation. Source: Alexandria via LeMat-Bulk, functional GGA-PBE.

abc: 19.433 19.433 19.433
angles: 109.47 109.47 109.47
Fractional coordinates of all 80 atoms:
1 K 0.009 0.191 0.085
2 K 0.009 0.319 0.924
3 K 0.076 0.585 0.395
4 K 0.076 0.991 0.681
5 K 0.085 0.009 0.191
6 K 0.085 0.576 0.895
7 K 0.105 0.691 0.681
8 K 0.105 0.915 0.424
9 K 0.181 0.191 0.605
10 K 0.181 0.491 0.576
11 K 0.191 0.085 0.009
12 K 0.191 0.605 0.181
13 K 0.309 0.319 0.895
14 K 0.309 0.491 0.415
15 K 0.319 0.895 0.309
16 K 0.319 0.924 0.009
17 K 0.395 0.076 0.585
18 K 0.395 0.819 0.809
19 K 0.415 0.309 0.491
20 K 0.415 0.605 0.924
21 K 0.424 0.105 0.915
22 K 0.424 0.819 0.509
23 K 0.491 0.415 0.309
24 K 0.491 0.576 0.181
25 K 0.509 0.424 0.819
26 K 0.509 0.585 0.691
27 K 0.576 0.181 0.491
28 K 0.576 0.895 0.085
29 K 0.585 0.395 0.076
30 K 0.585 0.691 0.509
31 K 0.605 0.181 0.191
32 K 0.605 0.924 0.415
33 K 0.681 0.076 0.991
34 K 0.681 0.105 0.691
35 K 0.691 0.509 0.585
36 K 0.691 0.681 0.105
37 K 0.809 0.395 0.819
38 K 0.809 0.915 0.991
39 K 0.819 0.509 0.424
40 K 0.819 0.809 0.395
41 K 0.895 0.085 0.576
42 K 0.895 0.309 0.319
43 K 0.915 0.424 0.105
44 K 0.915 0.991 0.809
45 K 0.924 0.009 0.319
46 K 0.924 0.415 0.605
47 K 0.991 0.681 0.076
48 K 0.991 0.809 0.915
49 Rb 0.125 0.250 0.375
50 Rb 0.125 0.375 0.750
51 Rb 0.250 0.375 0.125
52 Rb 0.250 0.875 0.625
53 Rb 0.375 0.125 0.250
54 Rb 0.375 0.750 0.125
55 Rb 0.625 0.250 0.875
56 Rb 0.625 0.875 0.750
57 Rb 0.750 0.125 0.375
58 Rb 0.750 0.625 0.875
59 Rb 0.875 0.625 0.250
60 Rb 0.875 0.750 0.625
61 Hg 0.000 0.000 0.000
62 Hg 0.000 0.000 0.500
63 Hg 0.000 0.500 0.000
64 Hg 0.000 0.500 0.500
65 Hg 0.125 0.750 0.875
66 Hg 0.125 0.875 0.250
67 Hg 0.250 0.125 0.875
68 Hg 0.250 0.625 0.375
69 Hg 0.375 0.250 0.625
70 Hg 0.375 0.625 0.750
71 Hg 0.500 0.000 0.000
72 Hg 0.500 0.000 0.500
73 Hg 0.500 0.500 0.000
74 Hg 0.500 0.500 0.500
75 Hg 0.625 0.375 0.250
76 Hg 0.625 0.750 0.375
77 Hg 0.750 0.375 0.625
78 Hg 0.750 0.875 0.125
79 Hg 0.875 0.125 0.750
80 Hg 0.875 0.250 0.125

- Density: 2.03 g/cm³
- N(E_F): 16.963 states/eV/f.u.
- Energy relative to the elements: 0.004 eV/atom
- Magnetic moment: 0.000 Bohr magnetons per cell

[2]
K3Rb2Hg4 after structural relaxation. Source: Alexandria via LeMat-Bulk, functional GGA-PBE.

abc: 9.554 9.524 9.223
angles: 90.00 107.33 90.00
Fractional coordinates of all 18 atoms:
1 K 0.000 0.000 0.000
2 K 0.000 0.500 0.500
3 K 0.254 0.180 0.750
4 K 0.254 0.320 0.250
5 K 0.746 0.680 0.750
6 K 0.746 0.820 0.250
7 Rb 0.308 0.672 0.928
8 Rb 0.308 0.828 0.428
9 Rb 0.692 0.172 0.572
10 Rb 0.692 0.328 0.072
11 Hg 0.007 0.615 0.118
12 Hg 0.007 0.885 0.618
13 Hg 0.424 0.030 0.122
14 Hg 0.424 0.470 0.622
15 Hg 0.576 0.530 0.378
16 Hg 0.576 0.970 0.878
17 Hg 0.993 0.115 0.382
18 Hg 0.993 0.385 0.882

- Density: 4.52 g/cm³
- N(E_F): 4.555 states/eV/f.u.
- Energy relative to the elements: -0.222 eV/atom
- Magnetic moment: 0.000 Bohr magnetons per cell

[3]
KRb2Hg after structural relaxation. Source: Alexandria via LeMat-Bulk, functional GGA-PBE.

abc: 6.198 6.198 5.960
angles: 90.00 90.00 90.00
Fractional coordinates of all 4 atoms:
1 K 0.000 0.000 0.000
2 Rb 0.000 0.500 0.500
3 Rb 0.500 0.000 0.500
4 Hg 0.500 0.500 0.000

- Density: 2.98 g/cm³
- N(E_F): 2.438 states/eV/f.u.
- Energy relative to the elements: -0.054 eV/atom
- Magnetic moment: 0.000 Bohr magnetons per cell

[4]
K21Rb2Hg6 after structural relaxation. Source: Alexandria via LeMat-Bulk, functional GGA-PBE.

abc: 13.268 13.268 13.268
angles: 60.00 60.00 60.00
Fractional coordinates of all 29 atoms:
1 K 0.000 0.000 0.000
2 K 0.000 0.000 0.340
3 K 0.000 0.000 0.660
4 K 0.000 0.340 0.000
5 K 0.000 0.340 0.660
6 K 0.000 0.660 0.000
7 K 0.000 0.660 0.340
8 K 0.165 0.612 0.612
9 K 0.340 0.000 0.000
10 K 0.340 0.000 0.660
11 K 0.340 0.660 0.000
12 K 0.388 0.388 0.388
13 K 0.388 0.388 0.835
14 K 0.388 0.835 0.388
15 K 0.612 0.165 0.612
16 K 0.612 0.612 0.165
17 K 0.612 0.612 0.612
18 K 0.660 0.000 0.000
19 K 0.660 0.000 0.340
20 K 0.660 0.340 0.000
21 K 0.835 0.388 0.388
22 Rb 0.250 0.250 0.250
23 Rb 0.750 0.750 0.750
24 Hg 0.265 0.265 0.735
25 Hg 0.265 0.735 0.265
26 Hg 0.265 0.735 0.735
27 Hg 0.735 0.265 0.265
28 Hg 0.735 0.265 0.735
29 Hg 0.735 0.735 0.265

- Density: 2.21 g/cm³
- N(E_F): 22.527 states/eV/f.u.
- Energy relative to the elements: -0.111 eV/atom
- Magnetic moment: 0.000 Bohr magnetons per cell

[5]
K5Rb2Hg3 after structural relaxation. Source: Alexandria via LeMat-Bulk, functional GGA-PBE.

abc: 18.607 18.607 9.934
angles: 90.00 90.00 162.60
Fractional coordinates of all 20 atoms:
1 K 0.054 0.946 0.500
2 K 0.127 0.873 0.869
3 K 0.291 0.709 0.612
4 K 0.293 0.707 0.206
5 K 0.405 0.595 0.714
6 K 0.595 0.405 0.214
7 K 0.707 0.293 0.706
8 K 0.709 0.291 0.112
9 K 0.873 0.127 0.369
10 K 0.946 0.054 0.000
11 Rb 0.175 0.825 0.421
12 Rb 0.474 0.526 0.328
13 Rb 0.526 0.474 0.828
14 Rb 0.825 0.175 0.921
15 Hg 0.041 0.959 0.115
16 Hg 0.235 0.765 0.907
17 Hg 0.387 0.613 0.092
18 Hg 0.613 0.387 0.592
19 Hg 0.765 0.235 0.407
20 Hg 0.959 0.041 0.615

- Density: 3.13 g/cm³
- N(E_F): 4.907 states/eV/f.u.
- Energy relative to the elements: -0.147 eV/atom
- Magnetic moment: 0.000 Bohr magnetons per cell

[6]
KRb4Hg4 after structural relaxation. Source: Alexandria via LeMat-Bulk, functional GGA-PBE.

abc: 11.201 11.201 11.201
angles: 142.16 142.16 54.59
Fractional coordinates of all 9 atoms:
1 K 0.000 0.000 0.000
2 Rb 0.157 0.531 0.000
3 Rb 0.469 0.469 0.626
4 Rb 0.531 0.157 0.000
5 Rb 0.843 0.843 0.374
6 Hg 0.005 0.315 0.000
7 Hg 0.315 0.005 0.000
8 Hg 0.685 0.685 0.690
9 Hg 0.995 0.995 0.310

- Density: 3.74 g/cm³
- N(E_F): 5.428 states/eV/f.u.
- Energy relative to the elements: -0.105 eV/atom
- Energy above the most stable polymorph in this dataset: 65 meV per atom
- Magnetic moment: 0.000 Bohr magnetons per cell